Here is TiAs2SeBr after structural relaxation from the Alexandria database. Energies are from GGA-PBE.

Cell lengths 4.954, 4.954, 5.142 Å; angles 90.00, 90.00, 90.00 degrees
Space group P4/mmm (No. 123)
One atom of each set of equivalent atoms:
Ti (0.000, 0.000, 0.000)
As (0.000, 0.500, 0.500)
Se (0.500, 0.500, 0.000)
Br (0.500, 0.500, 0.500)

Results
Final energy, eV/cell: -16.796
Offset from the most stable computed form, kcal/mol of atoms: 25.946
Magnetization, μB/f.u.: 0.00
Energy relative to the elements, uncorrected, eV per atom: 1.111

Here is Hf6Ga3Ag after structural relaxation from the Alexandria database. Energies are from GGA-PBE.

Cell lengths 10.132, 13.301, 6.161 Å; angles 90.00, 90.00, 90.00 degrees
Space group Cmc2_1 (No. 36)
One atom of each set of equivalent atoms:
Hf (0.000, 0.052, 0.000)
Hf (0.000, 0.291, 0.149)
Hf (0.216, 0.461, 0.204)
Hf (0.228, 0.296, 0.540)
Ga (0.000, 0.433, 0.502)
Ga (0.130, 0.119, 0.364)
Ag (0.000, 0.200, 0.705)

Results
Final energy, eV/cell: -291.960
Energy of formation, eV/atom: -0.134
Magnetization, μB/f.u.: 0.00

Here is NiH3Se after structural relaxation from the Alexandria database. Energies are from GGA-PBE.

Cell lengths 3.643, 3.643, 3.643 Å; angles 90.00, 90.00, 90.00 degrees
Space group Pm-3m (No. 221)
One atom of each set of equivalent atoms:
Ni (0.000, 0.000, 0.000)
H (0.000, 0.500, 0.500)
Se (0.500, 0.500, 0.500)

Results
Final energy, eV/cell: -14.267
Offset from the most stable computed form, kcal/mol of atoms: 8.774
Magnetization, μB/f.u.: 0.00

Here is HfGaNO2 after structural relaxation from the Alexandria database. Energies are from GGA-PBE.

Cell lengths 3.678, 3.678, 3.983 Å; angles 90.00, 90.00, 90.00 degrees
Space group P4/mmm (No. 123)
One atom of each set of equivalent atoms:
Hf (0.000, 0.000, 0.000)
Ga (0.500, 0.500, 0.500)
N (0.500, 0.500, 0.000)
O (0.000, 0.500, 0.500)

Results
Final energy, eV/cell: -36.660
Magnetization, μB/f.u.: 0.00
Energy relative to the elements, uncorrected, eV per atom: -1.088

Here is ThSc4In5 after structural relaxation from the Alexandria database. Energies are from GGA-PBE.

Cell lengths 3.302, 3.302, 21.767 Å; angles 90.00, 90.00, 90.00 degrees
Space group P4/mmm (No. 123)
One atom of each set of equivalent atoms:
Th (0.000, 0.000, 0.000)
Sc (0.000, 0.000, 0.210)
Sc (0.000, 0.000, 0.403)
In (0.500, 0.500, 0.114)
In (0.500, 0.500, 0.307)
In (0.500, 0.500, 0.500)

Results
Final energy, eV/cell: -50.347
Offset from the most stable computed form, kcal/mol of atoms: 0.099
Energy of formation, eV/atom: -0.391
Magnetization, μB/f.u.: 1.02

Here is SrAcMgO4 after structural relaxation from the Alexandria database. Energies are from GGA-PBE.

Cell lengths 5.567, 13.131, 5.590 Å; angles 90.00, 90.00, 90.00 degrees
Space group Cmcm (No. 63)
One atom of each set of equivalent atoms:
Sr (0.000, 0.108, 0.250)
Ac (0.000, 0.388, 0.250)
Mg (0.000, 0.248, 0.750)
O (0.000, 0.082, 0.750)
O (0.000, 0.425, 0.750)
O (0.250, 0.250, 0.000)

Results
Final energy, eV/cell: -183.417
Magnetization, μB/f.u.: 0.99
Energy relative to the elements, uncorrected, eV per atom: -2.662

Here is MnReBr2 after structural relaxation from the Alexandria database. Energies are from GGA-PBE.

Cell lengths 6.012, 3.385, 8.947 Å; angles 90.00, 95.42, 90.00 degrees
Space group Cm (No. 8)
One atom of each set of equivalent atoms:
Mn (0.000, 0.000, 0.000)
Re (0.279, 0.000, 0.857)
Br (0.189, 0.500, 0.631)
Br (0.348, 0.000, 0.196)

Results
Final energy, eV/cell: -48.257
Offset from the most stable computed form, kcal/mol of atoms: 0.000
Magnetization, μB/f.u.: 0.01
Energy relative to the elements, uncorrected, eV per atom: 0.209

Here is KSn3 after structural relaxation from the Alexandria database. Energies are from GGA-PBE.

Cell lengths 7.4193, 7.4193, 5.5019 Å; angles 90.00, 90.00, 120.00 degrees
Space group P6_3/mmc (No. 194)
One atom of each set of equivalent atoms:
K (0.3333, 0.6667, 0.2500)
Sn (0.1385, 0.2770, 0.7500)

Results
Final energy, eV/cell: -27.274
Energy of formation, eV/atom: -0.133
Magnetization, μB/f.u.: 0.00

- The highest final energy belongs to which entry?
  NiH3Se

What did the fourth record say?
Here is HfGaNO2 after structural relaxation from the Alexandria database. Energies are from GGA-PBE.

Cell lengths 3.678, 3.678, 3.983 Å; angles 90.00, 90.00, 90.00 degrees
Space group P4/mmm (No. 123)
One atom of each set of equivalent atoms:
Hf (0.000, 0.000, 0.000)
Ga (0.500, 0.500, 0.500)
N (0.500, 0.500, 0.000)
O (0.000, 0.500, 0.500)

Results
Final energy, eV/cell: -36.660
Magnetization, μB/f.u.: 0.00
Energy relative to the elements, uncorrected, eV per atom: -1.088

- Look up the final energy of the eighth one.
  -27.274 eV/cell

- Which value of magnetization does entry 6 give?
  0.99 μB/f.u.